A plane-wave DFT calculation with PBE was carried out for an optimized crystal structure of LiSiNiAg.

a b c (Å): 4.1915 4.1915 4.1915
angles (deg): 60.00 60.00 60.00
Last column: nearest neighbours and their distance in Å.
Fractional positions:
Li 0.0000 0.0000 0.0000  4 Ni 2.57, 4 Ag 2.57
Si 0.5000 0.5000 0.5000  4 Ni 2.57, 4 Ag 2.57
Ni 0.7500 0.7500 0.7500  4 Li 2.57, 4 Si 2.57
Ag 0.2500 0.2500 0.2500  4 Li 2.57, 4 Si 2.57

Output
total magnetization	0.00	Bohr magnetons per cell
ΔE_f (raw)	-0.179	eV per atom